[1]
# meta-GGA SCAN NaLiCa2, PBEsol geometry
# - formation enthalpy at 0 K (eV per atom) = 0.072
data_NaLiCa2
_chemical_formula_sum 'Na4 Li4 Ca8'
_cell_length_a 8.171
_cell_length_b 8.171
_cell_length_c 8.171
_cell_angle_alpha 90.00
_cell_angle_beta 90.00
_cell_angle_gamma 90.00
_symmetry_space_group_name_H-M 'F m -3 m'
_symmetry_Int_Tables_number 225
_symmetry_space_group_name_Hall '-F 4 2 3'
loop_
_atom_site_label
_atom_site_type_symbol
_atom_site_fract_x
_atom_site_fract_y
_atom_site_fract_z
Na1 Na 0.000 0.000 0.000
Li1 Li 0.000 0.000 0.500
Ca1 Ca 0.250 0.250 0.250

---

[2]
# meta-GGA SCAN Li2CaNb, PBEsol geometry
# - formation enthalpy at 0 K (eV per atom) = 0.746
data_Li2CaNb
_chemical_formula_sum 'Li8 Ca4 Nb4'
_cell_length_a 7.719
_cell_length_b 7.719
_cell_length_c 5.996
_cell_angle_alpha 90.00
_cell_angle_beta 90.00
_cell_angle_gamma 90.00
_symmetry_space_group_name_H-M 'I -4 2 d'
_symmetry_Int_Tables_number 122
_symmetry_space_group_name_Hall 'I -4 2bw'
loop_
_atom_site_label
_atom_site_type_symbol
_atom_site_fract_x
_atom_site_fract_y
_atom_site_fract_z
Li1 Li 0.232 0.250 0.125
Ca1 Ca 0.000 0.000 0.500
Nb1 Nb 0.000 0.000 0.000

---

[3]
# meta-GGA SCAN LiCa2Nb3O10, PBEsol geometry
# - ΔE_f (raw) (eV per formula unit) = -47.18
data_LiCa2Nb3O10
_chemical_formula_sum 'Li4 Ca8 Nb12 O40'
_cell_length_a 5.470
_cell_length_b 5.481
_cell_length_c 28.318
_cell_angle_alpha 90.00
_cell_angle_beta 90.40
_cell_angle_gamma 90.00
_symmetry_space_group_name_H-M 'P 1 c 1'
_symmetry_Int_Tables_number 7
_symmetry_space_group_name_Hall 'P -2yc'
loop_
_atom_site_label
_atom_site_type_symbol
_atom_site_fract_x
_atom_site_fract_y
_atom_site_fract_z
Li1 Li 0.000 0.001 0.000
Li2 Li 0.001 0.499 0.004
Ca1 Ca 0.265 0.242 0.329
Ca2 Ca 0.272 0.266 0.173
Ca3 Ca 0.729 0.233 0.831
Ca4 Ca 0.736 0.258 0.675
Nb1 Nb 0.241 0.253 0.902
Nb2 Nb 0.244 0.249 0.602
Nb3 Nb 0.250 0.232 0.752
Nb4 Nb 0.751 0.268 0.253
Nb5 Nb 0.757 0.252 0.402
Nb6 Nb 0.760 0.247 0.103
O1 O 0.008 0.004 0.128
O2 O 0.009 0.008 0.383
O3 O 0.068 0.433 0.260
O4 O 0.169 0.267 0.964
O5 O 0.174 0.232 0.540
O6 O 0.282 0.202 0.820
O7 O 0.299 0.311 0.685
O8 O 0.420 0.078 0.244
O9 O 0.489 0.485 0.106
O10 O 0.492 0.490 0.386
O11 O 0.509 0.010 0.618
O12 O 0.511 0.013 0.899
O13 O 0.581 0.421 0.760
O14 O 0.701 0.189 0.319
O15 O 0.720 0.298 0.184
O16 O 0.828 0.269 0.464
O17 O 0.832 0.233 0.041
O18 O 0.933 0.067 0.744
O19 O 0.992 0.491 0.622
O20 O 0.993 0.496 0.876

---

[4]
# meta-GGA SCAN Li7Ca8Nb12O40, PBEsol geometry
# - ΔE_f (raw) (eV per formula unit) = -195.10
data_Li7Ca8Nb12O40
_chemical_formula_sum 'Li7 Ca8 Nb12 O40'
_cell_length_a 5.537
_cell_length_b 5.537
_cell_length_c 26.406
_cell_angle_alpha 89.99
_cell_angle_beta 89.68
_cell_angle_gamma 90.00
_symmetry_space_group_name_H-M 'P 1'
_symmetry_Int_Tables_number 1
_symmetry_space_group_name_Hall 'P 1'
loop_
_atom_site_label
_atom_site_type_symbol
_atom_site_fract_x
_atom_site_fract_y
_atom_site_fract_z
Li1 Li 0.000 0.000 0.000
Li2 Li 0.000 0.013 0.500
Li3 Li 0.499 0.513 0.500
Li4 Li 0.500 0.013 0.489
Li5 Li 0.501 0.999 0.990
Li6 Li 0.998 0.513 0.511
Li7 Li 0.999 0.500 0.010
Ca1 Ca 0.239 0.744 0.172
Ca2 Ca 0.240 0.268 0.670
Ca3 Ca 0.259 0.768 0.330
Ca4 Ca 0.260 0.244 0.828
Ca5 Ca 0.738 0.249 0.335
Ca6 Ca 0.741 0.763 0.833
Ca7 Ca 0.759 0.263 0.167
Ca8 Ca 0.759 0.747 0.665
Nb1 Nb 0.247 0.746 0.904
Nb2 Nb 0.248 0.267 0.406
Nb3 Nb 0.249 0.758 0.748
Nb4 Nb 0.250 0.259 0.252
Nb5 Nb 0.251 0.766 0.594
Nb6 Nb 0.252 0.244 0.096
Nb7 Nb 0.743 0.259 0.594
Nb8 Nb 0.743 0.755 0.096
Nb9 Nb 0.747 0.257 0.748
Nb10 Nb 0.751 0.757 0.252
Nb11 Nb 0.755 0.759 0.406
Nb12 Nb 0.758 0.254 0.904
O1 O 0.001 0.511 0.383
O2 O 0.002 0.501 0.878
O3 O 0.005 0.011 0.393
O4 O 0.006 0.002 0.884
O5 O 0.059 0.068 0.748
O6 O 0.061 0.947 0.252
O7 O 0.182 0.708 0.675
O8 O 0.187 0.314 0.181
O9 O 0.192 0.736 0.972
O10 O 0.223 0.290 0.477
O11 O 0.264 0.192 0.028
O12 O 0.277 0.789 0.523
O13 O 0.313 0.202 0.325
O14 O 0.320 0.803 0.819
O15 O 0.438 0.447 0.746
O16 O 0.440 0.568 0.254
O17 O 0.494 0.501 0.112
O18 O 0.494 0.510 0.609
O19 O 0.498 0.001 0.122
O20 O 0.498 0.011 0.617
O21 O 0.499 0.516 0.391
O22 O 0.501 0.497 0.889
O23 O 0.505 0.017 0.412
O24 O 0.506 0.996 0.908
O25 O 0.550 0.957 0.730
O26 O 0.555 0.062 0.236
O27 O 0.691 0.192 0.819
O28 O 0.700 0.826 0.325
O29 O 0.722 0.236 0.523
O30 O 0.735 0.808 0.028
O31 O 0.776 0.735 0.477
O32 O 0.798 0.685 0.181
O33 O 0.805 0.322 0.675
O34 O 0.809 0.264 0.972
O35 O 0.944 0.561 0.764
O36 O 0.950 0.457 0.270
O37 O 0.993 0.496 0.092
O38 O 0.993 0.517 0.588
O39 O 0.999 0.015 0.608
O40 O 0.999 0.996 0.116

---

[5]
# meta-GGA SCAN LiCa2NbTe, PBEsol geometry
# - ΔE_f (raw) (eV per formula unit) = 1.23
data_LiCa2NbTe
_chemical_formula_sum 'Li1 Ca2 Nb1 Te1'
_cell_length_a 5.854
_cell_length_b 5.854
_cell_length_c 5.186
_cell_angle_alpha 90.00
_cell_angle_beta 90.00
_cell_angle_gamma 90.00
_symmetry_space_group_name_H-M 'P 4/m m m'
_symmetry_Int_Tables_number 123
_symmetry_space_group_name_Hall '-P 4 2'
loop_
_atom_site_label
_atom_site_type_symbol
_atom_site_fract_x
_atom_site_fract_y
_atom_site_fract_z
Li1 Li 0.000 0.000 0.000
Ca1 Ca 0.000 0.500 0.500
Nb1 Nb 0.500 0.500 0.000
Te1 Te 0.500 0.500 0.500

---

[6]
# meta-GGA SCAN Li2CaNi, PBEsol geometry
# - formation enthalpy at 0 K (eV per atom) = 0.230
data_Li2CaNi
_chemical_formula_sum 'Li8 Ca4 Ni4'
_cell_length_a 3.918
_cell_length_b 3.918
_cell_length_c 19.993
_cell_angle_alpha 90.00
_cell_angle_beta 90.00
_cell_angle_gamma 90.00
_symmetry_space_group_name_H-M 'I -4 2 d'
_symmetry_Int_Tables_number 122
_symmetry_space_group_name_Hall 'I -4 2bw'
loop_
_atom_site_label
_atom_site_type_symbol
_atom_site_fract_x
_atom_site_fract_y
_atom_site_fract_z
Li1 Li 0.195 0.750 0.125
Ca1 Ca 0.000 0.000 0.500
Ni1 Ni 0.000 0.000 0.000

---

Computed N(E_F), in the same sequence as the records: 0.71; 0.45; 0.00; 0.10; 0.49; 0.49 states/eV per atom.